First-principles (PBE) data for a geometry-optimized ScTa2Ni2 structure, as listed in the Alexandria database.

a = 7.143 Å, b = 7.143 Å, c = 3.134 Å
α = 90.00°, β = 90.00°, γ = 90.00°
Positions (direct):
Ta (0.171, 0.671, 0.500)
Ni (0.622, 0.122, 0.000)
Ni (0.378, 0.878, 0.000)
Sc (0.000, 0.000, 0.000)
Sc (0.500, 0.500, 0.000)
Ta (0.829, 0.329, 0.500)
Ta (0.329, 0.171, 0.500)
Ni (0.122, 0.378, 0.000)
Ni (0.878, 0.622, 0.000)
Ta (0.671, 0.829, 0.500)

Results
crystal system: tetragonal
space group: P4/mbm, No. 127
energy above the most stable polymorph in this dataset: 0 meV per atom
formation energy from the elements: -0.13 eV per atom
density of states at the Fermi level: 4.3 states/eV/f.u.